Here is crystalline La2TlI2 at its relaxed geometry from the Alexandria database. Energies are from GGA-PBE.

Calculated values
Formation energy from raw total energies ... -4.99 eV per formula unit
Total magnetization ... 0.00 μB per cell
Symmetry ... R-3m (166)
V ... 207.31 Å³/cell

Cell: 4.452 4.452 12.349 Å, 79.62 79.62 60.00°
Positions (direct):
La 0.610 0.610 0.169
La 0.390 0.390 0.831
Tl 0.000 0.000 0.000
I 0.221 0.221 0.337
I 0.779 0.779 0.663